No. 1
Entry from Alexandria: Cr2InCl after structural relaxation (PBE).

The space group is P4mm (No. 99) and the conventional cell measures 3.1871, 3.1871 and 7.7386 Å, with angles of 90.00, 90.00 and 90.00 degrees. Symmetry generates all atoms from Cr at (0.0000, 0.0000, 0.0000), Cr at (0.5000, 0.5000, 0.1584), In at (0.0000, 0.0000, 0.3899) and Cl at (0.5000, 0.5000, 0.8135).

As for the total energy: -5.879 eV per atom. As for the uncorrected formation energy: 79.1 meV per atom. As for the relative energy among the computed polymorphs: 0.0 meV per atom. Its total moment is 1.002 μB/f.u.

---

No. 2
Entry from Alexandria: CrIn2Cl after structural relaxation (PBE).

The space group is I-42d (No. 122) and the conventional cell measures 8.0421, 8.0421 and 6.3632 Å, with angles of 90.00, 90.00 and 90.00 degrees. Symmetry generates all atoms from Cr at (0.0000, 0.0000, 0.0000), In at (0.2352, 0.2500, 0.1250) and Cl at (0.0000, 0.0000, 0.5000).

As for the total energy: -3.998 eV per atom. As for the uncorrected formation energy: 239.1 meV per atom. As for the relative energy among the computed polymorphs: 338.9 meV per atom. Its total moment is 4.703 μB/f.u.